[1]
# Lu4Sc2Ni3C3 GGA-PBE relaxed
data_Lu4Sc2Ni3C3
_chemical_formula_sum 'Lu8 Sc4 Ni6 C6'
_symmetry_space_group_name_H-M 'P 1'
_symmetry_Int_Tables_number 1
_cell_length_a 5.899
_cell_length_b 5.899
_cell_length_c 13.948
_cell_angle_alpha 102.26
_cell_angle_beta 102.26
_cell_angle_gamma 59.97
loop_
_symmetry_equiv_pos_as_xyz
'x,y,z'
loop_
_atom_site_label
_atom_site_fract_x
_atom_site_fract_y
_atom_site_fract_z
Lu1 0.032 0.199 0.095
Lu2 0.135 0.300 0.405
Lu3 0.199 0.032 0.595
Lu4 0.300 0.135 0.905
Lu5 0.700 0.865 0.095
Lu6 0.801 0.968 0.405
Lu7 0.865 0.700 0.595
Lu8 0.968 0.801 0.905
Sc1 0.370 0.532 0.097
Sc2 0.468 0.630 0.403
Sc3 0.532 0.370 0.597
Sc4 0.630 0.468 0.903
Ni1 0.082 0.918 0.750
Ni2 0.096 0.417 0.750
Ni3 0.417 0.096 0.250
Ni4 0.583 0.904 0.750
Ni5 0.904 0.583 0.250
Ni6 0.918 0.082 0.250
C1 0.000 0.500 0.000
C2 0.186 0.657 0.500
C3 0.343 0.814 0.000
C4 0.500 0.000 0.500
C5 0.657 0.186 0.000
C6 0.814 0.343 0.500
# **Electronic total energy**: -0.240 hartree per atom

[2]
# U2TlPd GGA-PBE relaxed
data_U2TlPd
_chemical_formula_sum 'U4 Tl2 Pd2'
_symmetry_space_group_name_H-M 'P 1'
_symmetry_Int_Tables_number 1
_cell_length_a 5.752
_cell_length_b 5.752
_cell_length_c 5.805
_cell_angle_alpha 90.00
_cell_angle_beta 90.00
_cell_angle_gamma 82.61
loop_
_symmetry_equiv_pos_as_xyz
'x,y,z'
loop_
_atom_site_label
_atom_site_fract_x
_atom_site_fract_y
_atom_site_fract_z
U1 0.042 0.643 0.750
U2 0.357 0.958 0.750
U3 0.643 0.042 0.250
U4 0.958 0.357 0.250
Tl1 0.173 0.827 0.250
Tl2 0.827 0.173 0.750
Pd1 0.500 0.500 0.000
Pd2 0.500 0.500 0.500
# **Electronic total energy**: -0.265 hartree per atom